Entry 1:
This record from the Alexandria database describes a geometry-optimized TeIr3 structure. The functional is PBE.

Lattice parameters (Å, degrees): 9.1677 9.1677 9.1677 18.38 18.38 18.38
Last column: nearest neighbours and their distance in Å.
Atoms (fractional coordinates):
Ir: 0.7548 0.7548 0.7548  9 Ir 2.71-2.93, 3 Te 2.92
Ir: 0.5000 0.5000 0.5000  12 Ir 2.71-2.93
Ir: 0.2452 0.2452 0.2452  9 Ir 2.71-2.93, 3 Te 2.92
Te: 0.0000 0.0000 0.0000  6 Ir 2.92, 6 Te 2.93

Computed properties:
symmetry = R-3m (166)
formation energy from raw total energies = 2.33 eV/f.u.
raw total energy = -6.850 eV per atom



Entry 2:
This record from the Alexandria database describes a geometry-optimized Te2Ir3 structure. The functional is PBE.

Lattice parameters (Å, degrees): 8.0917 8.0917 8.0917 27.94 27.94 27.94
Last column: nearest neighbours and their distance in Å.
Atoms (fractional coordinates):
Ir: 0.1868 0.1868 0.1868  3 Ir 2.44
Ir: 0.0000 0.0000 0.0000  6 Te 2.71
Ir: 0.8132 0.8132 0.8132  3 Ir 2.44
Te: 0.3979 0.3979 0.3979  6 Ir 2.71-2.96
Te: 0.6021 0.6021 0.6021  6 Ir 2.71-2.96

Computed properties:
symmetry = R-3m (166)
formation energy from raw total energies = 1.80 eV/f.u.
raw total energy = -6.213 eV per atom



Entry 3:
This record from the Alexandria database describes a geometry-optimized TeIr3 structure. The functional is PBE.

Lattice parameters (Å, degrees): 2.8881 2.8881 8.0731 90.00 90.00 90.00
Last column: nearest neighbours and their distance in Å.
Atoms (fractional coordinates):
Te: 0.5000 0.5000 0.7500  4 Te 2.89, 8 Ir 3.03
Ir: 0.0000 0.0000 0.0268  8 Ir 2.72-2.89, 4 Te 3.03
Ir: 0.5000 0.5000 0.2500  12 Ir 2.72-2.89
Ir: 0.0000 0.0000 0.4732  8 Ir 2.72-2.89, 4 Te 3.03

Computed properties:
symmetry = P4/mmm (123)
formation energy from raw total energies = 2.00 eV/f.u.
raw total energy = -6.931 eV per atom



Entry 4:
This record from the Alexandria database describes a geometry-optimized TeIr3 structure. The functional is PBE.

Lattice parameters (Å, degrees): 4.8234 4.8234 2.9721 90.00 90.00 108.76
Last column: nearest neighbours and their distance in Å.
Atoms (fractional coordinates):
Ir: 0.5000 0.5000 0.0000  2 Te 2.81, 10 Ir 2.83-2.97
Ir: 0.0000 0.5000 0.5000  8 Ir 2.81-2.97, 4 Te 2.83
Ir: 0.5000 0.0000 0.5000  8 Ir 2.81-2.97, 4 Te 2.83
Te: 0.0000 0.0000 0.0000  10 Ir 2.81-2.83, 2 Te 2.97

Computed properties:
symmetry = Cmmm (65)
formation energy from raw total energies = 1.68 eV/f.u.
raw total energy = -7.011 eV per atom